# AlAg6Au3 | Alexandria | PBE | relaxed
data_AlAg6Au3
_cell_length_a 7.785
_cell_length_b 4.808
_cell_length_c 10.050
_cell_angle_alpha 90.00
_cell_angle_beta 109.96
_cell_angle_gamma 90.00
_space_group_name_H-M_alt 'P 1 21/m 1'
_space_group_IT_number 11
loop_
_space_group_symop_operation_xyz
'x,y,z'
'-x,-y,-z'
'-x,y+1/2,-z'
'x,-y+1/2,z'
loop_
_atom_site_label
_atom_site_type_symbol
_atom_site_fract_x
_atom_site_fract_y
_atom_site_fract_z
Al1 Al 0.013 0.250 0.408
Ag1 Ag 0.002 0.250 0.917
Ag2 Ag 0.189 0.250 0.701
Ag3 Ag 0.196 0.750 0.391
Ag4 Ag 0.203 0.250 0.216
Ag5 Ag 0.396 0.750 0.181
Ag6 Ag 0.401 0.750 0.686
Au1 Au 0.190 0.750 0.870
Au2 Au 0.396 0.250 0.514
Au3 Au 0.399 0.250 0.012
# DFT total energy ... -3.124 eV/atom
# Relative energy among the computed polymorphs ... 0 meV per atom
# Mass density ... 11.9 Mg/m³
# ΔH_f (0 K) ... -0.056 eV/atom